Record 1
First-principles (GGA-PBE) data for crystalline BaLi4In12 at its relaxed geometry, as listed in Alexandria.

Unit cell a=8.4260 b=8.4260 c=8.4260 alpha=109.47 beta=109.47 gamma=109.47
Fractional positions:
1 Ba 0.0000 0.0000 0.0000
2 Li 0.0000 0.5000 0.0000
3 Li 0.5000 0.0000 0.0000
4 Li 0.5000 0.5000 0.5000
5 Li 0.0000 0.0000 0.5000
6 In 0.8373 0.3460 0.1833
7 In 0.3460 0.5087 0.1627
8 In 0.8167 0.1627 0.6540
9 In 0.3460 0.1833 0.8373
10 In 0.1833 0.8373 0.3460
11 In 0.6540 0.4913 0.8373
12 In 0.5087 0.1627 0.3460
13 In 0.4913 0.8373 0.6540
14 In 0.6540 0.8167 0.1627
15 In 0.8373 0.6540 0.4913
16 In 0.1627 0.3460 0.5087
17 In 0.1627 0.6540 0.8167

Output
The formation energy is -0.001 eV per atom. The calculation puts the total energy at -2.497 eV/atom. For the total magnetization, the calculation gives 0.000 Bohr magnetons per cell.

Record 2
First-principles (GGA-PBE) data for crystalline BaLi3In9 at its relaxed geometry, as listed in Alexandria.

Unit cell a=5.9862 b=7.8987 c=7.9478 alpha=82.06 beta=67.88 gamma=68.49
Fractional positions:
1 Ba 0.0000 0.0000 0.0000
2 Li 0.5000 0.5000 0.0000
3 Li 0.0000 0.0000 0.5000
4 Li 0.5000 0.0000 0.5000
5 In 0.7083 0.7847 0.7739
6 In 0.2917 0.2153 0.2261
7 In 0.5178 0.2153 0.7739
8 In 0.4822 0.7847 0.2261
9 In 0.6459 0.3416 0.3568
10 In 0.3541 0.6584 0.6432
11 In 0.9973 0.6584 0.3568
12 In 0.0027 0.3416 0.6432
13 In 0.0000 0.5000 0.0000

Output
The formation energy is -0.248 eV per atom. The calculation puts the total energy at -2.733 eV/atom. For the total magnetization, the calculation gives 0.000 Bohr magnetons per cell.

Record 3
First-principles (GGA-PBE) data for crystalline Ba12LiIn6 at its relaxed geometry, as listed in Alexandria.

Unit cell a=10.3197 b=10.3197 c=10.3197 alpha=100.21 beta=100.21 gamma=100.21
Fractional positions:
1 Ba 0.8243 0.5672 0.4247
2 Ba 0.4247 0.8243 0.5672
3 Ba 0.5672 0.4247 0.8243
4 Ba 0.1757 0.4328 0.5753
5 Ba 0.5753 0.1757 0.4328
6 Ba 0.4328 0.5753 0.1757
7 Ba 0.0593 0.9285 0.3300
8 Ba 0.0715 0.6700 0.9407
9 Ba 0.6700 0.9407 0.0715
10 Ba 0.9407 0.0715 0.6700
11 Ba 0.9285 0.3300 0.0593
12 Ba 0.3300 0.0593 0.9285
13 Li 0.0000 0.0000 0.0000
14 In 0.7057 0.8623 0.3914
15 In 0.6086 0.2943 0.1377
16 In 0.1377 0.6086 0.2943
17 In 0.2943 0.1377 0.6086
18 In 0.3914 0.7057 0.8623
19 In 0.8623 0.3914 0.7057

Output
The formation energy is -0.091 eV per atom. The calculation puts the total energy at -2.271 eV/atom. For the total magnetization, the calculation gives 0.011 Bohr magnetons per cell.